Record 1
A plane-wave DFT calculation with PBE was carried out for a relaxed Pm2Be3HgPt4 crystal.

## Properties
**ΔH_f (0 K)**: -0.743 eV/atom

Geometry as CIF:
```
data_Pm2Be3HgPt4
_symmetry_space_group_name_H-M 'P -4 m 2'
_symmetry_Int_Tables_number 115
_cell_length_a 4.0560
_cell_length_b 4.0560
_cell_length_c 10.6537
_cell_angle_alpha 90.00
_cell_angle_beta 90.00
_cell_angle_gamma 90.00
loop_
_symmetry_equiv_pos_as_xyz
'x,y,z'
'y,-x,-z'
'-x,-y,z'
'-y,x,-z'
'-x,y,z'
'-y,-x,-z'
'x,-y,z'
'y,x,-z'
loop_
_atom_site_label
_atom_site_fract_x
_atom_site_fract_y
_atom_site_fract_z
Pm1 0.0000 0.5000 0.2335
Be1 0.0000 0.5000 0.8902
Be2 0.5000 0.5000 0.5000
Hg1 0.0000 0.0000 0.5000
Pt1 0.0000 0.0000 0.0000
Pt2 0.0000 0.5000 0.6736
Pt3 0.5000 0.5000 0.0000
```

***

Record 2
A plane-wave DFT calculation with PBE was carried out for a relaxed Pm3BeHg2Rh3 crystal.

## Properties
**ΔH_f (0 K)**: -0.532 eV/atom

Geometry as CIF:
```
data_Pm3BeHg2Rh3
_symmetry_space_group_name_H-M 'P -6 2 m'
_symmetry_Int_Tables_number 189
_symmetry_space_group_name_Hall 'P -6 -2'
_cell_length_a 7.7269
_cell_length_b 7.7269
_cell_length_c 3.6387
_cell_angle_alpha 90.00
_cell_angle_beta 90.00
_cell_angle_gamma 120.00
loop_
_atom_site_label
_atom_site_fract_x
_atom_site_fract_y
_atom_site_fract_z
Pm1 0.0000 0.3537 0.0000
Be1 0.0000 0.0000 0.0000
Hg1 0.3333 0.6667 0.5000
Rh1 0.0000 0.7860 0.5000
```

***

Record 3
A plane-wave DFT calculation with PBE was carried out for a relaxed Pr2BeHg crystal.

## Properties
**ΔH_f (0 K)**: -0.135 eV/atom

Geometry as CIF:
```
data_Pr2BeHg
_symmetry_space_group_name_H-M 'P 4/m m m'
_symmetry_Int_Tables_number 123
_symmetry_space_group_name_Hall '-P 4 2'
_cell_length_a 3.6680
_cell_length_b 3.6680
_cell_length_c 7.6253
_cell_angle_alpha 90.00
_cell_angle_beta 90.00
_cell_angle_gamma 90.00
loop_
_atom_site_label
_atom_site_fract_x
_atom_site_fract_y
_atom_site_fract_z
Pr1 0.0000 0.0000 0.2213
Be1 0.5000 0.5000 0.0000
Hg1 0.5000 0.5000 0.5000
```

***

Record 4
A plane-wave DFT calculation with PBE was carried out for a relaxed BeHg2Pt crystal.

## Properties
**ΔH_f (0 K)**: 0.322 eV/atom

Geometry as CIF:
```
data_BeHg2Pt
_symmetry_space_group_name_H-M 'F m -3 m'
_symmetry_Int_Tables_number 225
_symmetry_space_group_name_Hall '-F 4 2 3'
_cell_length_a 6.5106
_cell_length_b 6.5106
_cell_length_c 6.5106
_cell_angle_alpha 90.00
_cell_angle_beta 90.00
_cell_angle_gamma 90.00
loop_
_atom_site_label
_atom_site_fract_x
_atom_site_fract_y
_atom_site_fract_z
Be1 0.0000 0.0000 0.0000
Hg1 0.2500 0.2500 0.2500
Pt1 0.0000 0.0000 0.5000
```

***

Record 5
A plane-wave DFT calculation with PBE was carried out for a relaxed Be4HgPt crystal.

## Properties
**ΔH_f (0 K)**: -0.119 eV/atom

Geometry as CIF:
```
data_Be4HgPt
_symmetry_space_group_name_H-M 'F -4 3 m'
_symmetry_Int_Tables_number 216
_symmetry_space_group_name_Hall 'F -4 2 3'
_cell_length_a 6.4546
_cell_length_b 6.4546
_cell_length_c 6.4546
_cell_angle_alpha 90.00
_cell_angle_beta 90.00
_cell_angle_gamma 90.00
loop_
_atom_site_label
_atom_site_fract_x
_atom_site_fract_y
_atom_site_fract_z
Be1 0.1232 0.1232 0.3768
Hg1 0.0000 0.0000 0.0000
Pt1 0.2500 0.2500 0.7500
```

***

Record 6
A plane-wave DFT calculation with PBE was carried out for a relaxed BeHg2Pt crystal.

## Properties
**ΔH_f (0 K)**: 0.244 eV/atom

Geometry as CIF:
```
data_BeHg2Pt
_symmetry_space_group_name_H-M 'I -4 m 2'
_symmetry_Int_Tables_number 119
_symmetry_space_group_name_Hall 'I -4 -2'
_cell_length_a 4.0210
_cell_length_b 4.0210
_cell_length_c 8.4797
_cell_angle_alpha 90.00
_cell_angle_beta 90.00
_cell_angle_gamma 90.00
loop_
_atom_site_label
_atom_site_fract_x
_atom_site_fract_y
_atom_site_fract_z
Be1 0.0000 0.0000 0.0000
Hg1 0.0000 0.0000 0.5000
Hg2 0.0000 0.5000 0.7500
Pt1 0.0000 0.5000 0.2500
```

***

Record 7
A plane-wave DFT calculation with PBE was carried out for a relaxed BeHg2Pt crystal.

## Properties
**ΔH_f (0 K)**: -0.091 eV/atom

Geometry as CIF:
```
data_BeHg2Pt
_symmetry_space_group_name_H-M 'C 1 2/m 1'
_symmetry_Int_Tables_number 12
_cell_length_a 14.6252
_cell_length_b 2.9876
_cell_length_c 3.5338
_cell_angle_alpha 90.00
_cell_angle_beta 90.08
_cell_angle_gamma 90.00
loop_
_symmetry_equiv_pos_as_xyz
'x,y,z'
'-x,-y,-z'
'-x,y,-z'
'x,-y,z'
'x+1/2,y+1/2,z'
'-x+1/2,-y+1/2,-z'
'-x+1/2,y+1/2,-z'
'x+1/2,-y+1/2,z'
loop_
_atom_site_label
_atom_site_fract_x
_atom_site_fract_y
_atom_site_fract_z
Be1 0.0000 0.0000 0.0000
Hg1 0.1624 0.5000 0.0004
Pt1 0.0000 0.5000 0.5000
```

***

Record 8
A plane-wave DFT calculation with PBE was carried out for a relaxed BeHgPt crystal.

## Properties
**ΔH_f (0 K)**: -0.084 eV/atom

Geometry as CIF:
```
data_BeHgPt
_symmetry_space_group_name_H-M 'F -4 3 m'
_symmetry_Int_Tables_number 216
_symmetry_space_group_name_Hall 'F -4 2 3'
_cell_length_a 5.7628
_cell_length_b 5.7628
_cell_length_c 5.7628
_cell_angle_alpha 90.00
_cell_angle_beta 90.00
_cell_angle_gamma 90.00
loop_
_atom_site_label
_atom_site_fract_x
_atom_site_fract_y
_atom_site_fract_z
Be1 0.0000 0.0000 0.0000
Hg1 0.2500 0.2500 0.7500
Pt1 0.2500 0.2500 0.2500
```

***

Record 9
A plane-wave DFT calculation with PBE was carried out for a relaxed BeHg2Pt crystal.

## Properties
**ΔH_f (0 K)**: -0.037 eV/atom

Geometry as CIF:
```
data_BeHg2Pt
_symmetry_space_group_name_H-M 'C 1 m 1'
_symmetry_Int_Tables_number 8
_cell_length_a 6.6413
_cell_length_b 3.8461
_cell_length_c 6.3349
_cell_angle_alpha 90.00
_cell_angle_beta 111.04
_cell_angle_gamma 90.00
loop_
_symmetry_equiv_pos_as_xyz
'x,y,z'
'x,-y,z'
'x+1/2,y+1/2,z'
'x+1/2,-y+1/2,z'
loop_
_atom_site_label
_atom_site_fract_x
_atom_site_fract_y
_atom_site_fract_z
Be1 0.0000 0.0000 0.0000
Hg1 0.2028 0.0000 0.6198
Hg2 0.4243 0.0000 0.2754
Pt1 0.1456 0.5000 0.9393
```

***

Record 10
A plane-wave DFT calculation with PBE was carried out for a relaxed BeHgPt2 crystal.

## Properties
**ΔH_f (0 K)**: -0.221 eV/atom

Geometry as CIF:
```
data_BeHgPt2
_symmetry_space_group_name_H-M 'C 1 2/m 1'
_symmetry_Int_Tables_number 12
_cell_length_a 6.2183
_cell_length_b 3.6480
_cell_length_c 6.1970
_cell_angle_alpha 90.00
_cell_angle_beta 110.29
_cell_angle_gamma 90.00
loop_
_symmetry_equiv_pos_as_xyz
'x,y,z'
'-x,-y,-z'
'-x,y,-z'
'x,-y,z'
'x+1/2,y+1/2,z'
'-x+1/2,-y+1/2,-z'
'-x+1/2,y+1/2,-z'
'x+1/2,-y+1/2,z'
loop_
_atom_site_label
_atom_site_fract_x
_atom_site_fract_y
_atom_site_fract_z
Be1 0.0000 0.0000 0.0000
Hg1 0.0000 0.5000 0.5000
Pt1 0.2222 0.5000 0.1645
```

***

Record 11
A plane-wave DFT calculation with PBE was carried out for a relaxed BeHgPt2 crystal.

## Properties
**ΔH_f (0 K)**: -0.161 eV/atom

Geometry as CIF:
```
data_BeHgPt2
_symmetry_space_group_name_H-M 'P m m 2'
_symmetry_Int_Tables_number 25
_cell_length_a 2.8140
_cell_length_b 3.5561
_cell_length_c 6.4341
_cell_angle_alpha 90.00
_cell_angle_beta 90.00
_cell_angle_gamma 90.00
loop_
_symmetry_equiv_pos_as_xyz
'x,y,z'
'-x,-y,z'
'-x,y,z'
'x,-y,z'
loop_
_atom_site_label
_atom_site_fract_x
_atom_site_fract_y
_atom_site_fract_z
Be1 0.0000 0.0000 0.0000
Hg1 0.5000 0.5000 0.3488
Pt1 0.0000 0.0000 0.6307
Pt2 0.5000 0.5000 0.9091
```

***

Record 12
A plane-wave DFT calculation with PBE was carried out for a relaxed BeHgPt crystal.

## Properties
**ΔH_f (0 K)**: -0.193 eV/atom

Geometry as CIF:
```
data_BeHgPt
_symmetry_space_group_name_H-M 'I m m 2'
_symmetry_Int_Tables_number 44
_cell_length_a 2.8516
_cell_length_b 3.3840
_cell_length_c 9.8608
_cell_angle_alpha 90.00
_cell_angle_beta 90.00
_cell_angle_gamma 90.00
loop_
_symmetry_equiv_pos_as_xyz
'x,y,z'
'-x,-y,z'
'-x,y,z'
'x,-y,z'
'x+1/2,y+1/2,z+1/2'
'-x+1/2,-y+1/2,z+1/2'
'-x+1/2,y+1/2,z+1/2'
'x+1/2,-y+1/2,z+1/2'
loop_
_atom_site_label
_atom_site_fract_x
_atom_site_fract_y
_atom_site_fract_z
Be1 0.0000 0.0000 0.0000
Hg1 0.0000 0.0000 0.2857
Pt1 0.0000 0.0000 0.5740
```